DFT (PBE-GGA) results for a relaxed structure of LiLu3H.

a = 4.784 Å, b = 4.784 Å, c = 4.784 Å
α = 90.00°, β = 90.00°, γ = 90.00°
Site moments in Bohr magnetons follow the coordinates.
Positions (direct):
H 0.000 0.000 0.000  -0.01
Lu 0.000 0.500 0.000  0.43
Lu 0.000 0.000 0.500  0.43
Lu 0.500 0.000 0.000  0.43
Li 0.500 0.500 0.500  0.03

Space group = Pm-3m, No. 221
Theoretical density = 8.1 g cm⁻³
Raw total energy = -3.747 eV/atom